{
  "formula": "Li2Ti3NiO8",
  "functional": "meta-GGA SCAN",
  "state": "PBEsol geometry",
  "energy_ev_per_atom": -11.279,
  "e_above_lowest_polymorph_kj_per_mol_atoms": 4.93,
  "cell": [[-0.205, 3.277, 4.885], [-5.190, 1.765, 2.144], [-2.051, -2.271, 4.984]],
  "species": ["Li", "Li", "Ti", "Ti", "Ti", "Ni", "O", "O", "O", "O", "O", "O", "O", "O"],
  "fractional_positions": [[0.119, 0.119, 0.642], [0.499, 0.499, 0.502], [0.007, 0.499, 0.995], [0.499, 0.499, 0.995], [0.499, 0.007, 0.995], [0.883, 0.883, 0.352], [0.259, 0.259, 0.223], [0.743, 0.743, 0.772], [0.252, 0.711, 0.786], [0.252, 0.252, 0.786], [0.711, 0.252, 0.786], [0.279, 0.748, 0.224], [0.748, 0.748, 0.224], [0.748, 0.279, 0.224]]
}